Material: NdAs2PtRh5
Method: DFT, GGA-PBE
State: relaxed

Cell lengths 4.713, 4.713, 7.141 Å; angles 90.00, 90.00, 90.00 degrees
Space group P4/mmm (No. 123)
One atom of each set of equivalent atoms:
Nd: 0.000 0.000 0.000 [1 per cell]
As: 0.500 0.500 0.330 [2 per cell]
Pt: 0.000 0.000 0.500 [1 per cell]
Rh: 0.000 0.500 0.292 [4 per cell]
Rh: 0.500 0.500 0.000 [1 per cell]

Results
D(E_F): 9.27 states/eV/cell
Crystal system: tetragonal
Uncorrected energy: -6.522 eV/atom

***

Material: La4FeHBr2
Method: DFT, GGA-PBE
State: relaxed

Cell lengths 6.679, 4.062, 8.122 Å; angles 90.00, 104.70, 90.00 degrees
Space group P2/m (No. 10)
One atom of each set of equivalent atoms:
La: 0.245 0.000 0.193 [2 per cell]
La: 0.254 0.500 0.807 [2 per cell]
Fe: 0.000 0.500 0.000 [1 per cell]
H: 0.500 0.000 0.000 [1 per cell]
Br: 0.000 0.000 0.500 [1 per cell]
Br: 0.500 0.500 0.500 [1 per cell]

Results
D(E_F): 5.58 states/eV/cell
Crystal system: monoclinic
Uncorrected energy: -5.120 eV/atom

***

Material: Y5Tm2Ge4
Method: DFT, GGA-PBE
State: relaxed

Cell lengths 21.268, 3.753, 7.928 Å; angles 90.00, 96.91, 90.00 degrees
Space group C2/m (No. 12)
One atom of each set of equivalent atoms:
Y: 0.000 0.000 0.000 [2 per cell]
Y: 0.103 0.500 0.423 [4 per cell]
Y: 0.160 0.500 0.972 [4 per cell]
Tm: 0.233 0.000 0.667 [4 per cell]
Ge: 0.026 0.500 0.731 [4 per cell]
Ge: 0.104 0.000 0.710 [4 per cell]

Results
D(E_F): 20.27 states/eV/cell
Crystal system: monoclinic
Uncorrected energy: -5.720 eV/atom

***

Material: BaZr2Br
Method: DFT, GGA-PBE
State: relaxed

Cell lengths 4.950, 4.950, 9.089 Å; angles 90.00, 90.00, 90.00 degrees
Space group I-4m2 (No. 119)
One atom of each set of equivalent atoms:
Ba: 0.000 0.000 0.000 [2 per cell]
Zr: 0.000 0.000 0.500 [2 per cell]
Zr: 0.000 0.500 0.250 [2 per cell]
Br: 0.000 0.500 0.750 [2 per cell]

Results
E_form (uncorrected): 0.4557 eV/atom
D(E_F): 13.37 states/eV/cell
Crystal system: tetragonal

***

Material: Hf2SbH2
Method: DFT, GGA-PBE
State: relaxed

Cell lengths 4.242, 4.120, 5.306 Å; angles 90.00, 113.55, 90.00 degrees
Space group Pm (No. 6)
One atom of each set of equivalent atoms:
Hf: 0.000 0.000 0.000 [1 per cell]
Hf: 0.470 0.500 0.939 [1 per cell]
Sb: 0.764 0.500 0.526 [1 per cell]
H: 0.041 0.500 0.084 [1 per cell]
H: 0.470 0.000 0.940 [1 per cell]

Results
D(E_F): 1.92 states/eV/cell
Crystal system: monoclinic
Uncorrected energy: -6.249 eV/atom

***

Material: Nb12Al3Sn
Method: DFT, GGA-PBE
State: relaxed

Cell lengths 5.247, 5.253, 10.443 Å; angles 90.00, 90.00, 90.00 degrees
Space group Pmmm (No. 47)
One atom of each set of equivalent atoms:
Nb: 0.000 0.000 0.124 [2 per cell]
Nb: 0.000 0.000 0.370 [2 per cell]
Nb: 0.242 0.500 0.500 [2 per cell]
Nb: 0.256 0.500 0.000 [2 per cell]
Nb: 0.500 0.255 0.243 [4 per cell]
Al: 0.000 0.500 0.251 [2 per cell]
Al: 0.500 0.000 0.000 [1 per cell]
Sn: 0.500 0.000 0.500 [1 per cell]

Results
D(E_F): 24.07 states/eV/cell
Crystal system: orthorhombic
Uncorrected energy: -8.697 eV/atom

***

Material: Cr2InSb
Method: DFT, GGA-PBE
State: relaxed

Cell lengths 6.503, 6.503, 6.503 Å; angles 90.00, 90.00, 90.00 degrees
Space group Fm-3m (No. 225)
One atom of each set of equivalent atoms:
Cr: 0.250 0.250 0.250 [8 per cell]
In: 0.000 0.000 0.000 [4 per cell]
Sb: 0.000 0.000 0.500 [4 per cell]

Results
E_form (uncorrected): 0.5048 eV/atom
D(E_F): 14.91 states/eV/cell
Crystal system: cubic

***

Material: Sr3Hg5
Method: DFT, GGA-PBE
State: relaxed

Cell lengths 6.436, 19.468, 16.209 Å; angles 90.00, 90.00, 90.00 degrees
Space group Fdd2 (No. 43)
One atom of each set of equivalent atoms:
Sr: 0.000 0.000 0.000 [8 per cell]
Sr: 0.050 0.334 0.998 [16 per cell]
Hg: 0.000 0.000 0.563 [8 per cell]
Hg: 0.048 0.334 0.418 [16 per cell]
Hg: 0.089 0.309 0.604 [16 per cell]

Results
D(E_F): 29.17 states/eV/cell
Crystal system: orthorhombic
Uncorrected energy: -1.278 eV/atom

***

Material: LiNb3Ga
Method: DFT, GGA-PBE
State: relaxed

Cell lengths 4.403, 4.403, 4.403 Å; angles 90.00, 90.00, 90.00 degrees
Space group Pm-3m (No. 221)
One atom of each set of equivalent atoms:
Li: 0.000 0.000 0.000 [1 per cell]
Nb: 0.000 0.000 0.500 [3 per cell]
Ga: 0.500 0.500 0.500 [1 per cell]

Results
D(E_F): 5.47 states/eV/cell
Crystal system: cubic
Uncorrected energy: -6.198 eV/atom

***

Material: Nd6Er2Tm3Th
Method: DFT, GGA-PBE
State: relaxed

Cell lengths 6.240, 10.804, 11.859 Å; angles 90.00, 100.12, 90.00 degrees
Space group C2/m (No. 12)
One atom of each set of equivalent atoms:
Nd: 0.246 0.000 0.250 [4 per cell]
Nd: 0.249 0.165 0.751 [8 per cell]
Er: 0.000 0.333 0.500 [4 per cell]
Tm: 0.000 0.167 0.000 [4 per cell]
Tm: 0.000 0.500 0.000 [2 per cell]
Th: 0.000 0.000 0.500 [2 per cell]

Results
D(E_F): 30.42 states/eV/cell
Crystal system: monoclinic
Uncorrected energy: -4.845 eV/atom

***

Material: CaHg2Pd
Method: DFT, GGA-PBE
State: relaxed

Cell lengths 4.387, 4.387, 4.621 Å; angles 90.00, 90.00, 90.00 degrees
Space group P4/mmm (No. 123)
One atom of each set of equivalent atoms:
Ca: 0.000 0.000 0.000 [1 per cell]
Hg: 0.000 0.500 0.500 [2 per cell]
Pd: 0.500 0.500 0.000 [1 per cell]

Results
D(E_F): 1.75 states/eV/cell
Crystal system: tetragonal
Uncorrected energy: -2.327 eV/atom

***

Material: LaBe3Au10
Method: DFT, GGA-PBE
State: relaxed

Cell lengths 12.537, 12.537, 12.537 Å; angles 90.00, 90.00, 90.00 degrees
Space group Fm-3m (No. 225)
One atom of each set of equivalent atoms:
La: 0.250 0.250 0.250 [8 per cell]
Be: 0.000 0.000 0.238 [24 per cell]
Au: 0.000 0.169 0.331 [48 per cell]
Au: 0.112 0.112 0.112 [32 per cell]

Results
D(E_F): 38.50 states/eV/cell
Crystal system: cubic
Uncorrected energy: -3.769 eV/atom

***

Material: Rb2Hg5H2
Method: DFT, GGA-PBE
State: relaxed

Cell lengths 15.545, 18.339, 3.979 Å; angles 90.00, 90.00, 90.00 degrees
Space group Ima2 (No. 46)
One atom of each set of equivalent atoms:
Rb: 0.000 0.000 0.000 [4 per cell]
Rb: 0.250 0.010 0.993 [4 per cell]
Hg: 0.047 0.170 0.514 [8 per cell]
Hg: 0.133 0.678 0.527 [8 per cell]
Hg: 0.250 0.181 0.488 [4 per cell]
H: 0.123 0.037 0.496 [8 per cell]

Results
D(E_F): 1.31 states/eV/cell
Crystal system: orthorhombic
Uncorrected energy: -1.140 eV/atom

***

Material: K2LiCuF6
Method: DFT, GGA-PBE
State: relaxed

Cell lengths 8.070, 8.070, 8.070 Å; angles 90.00, 90.00, 90.00 degrees
Space group Fm-3m (No. 225)
One atom of each set of equivalent atoms:
K: 0.250 0.250 0.250 [8 per cell]
Li: 0.000 0.000 0.000 [4 per cell]
Cu: 0.000 0.000 0.500 [4 per cell]
F: 0.000 0.000 0.260 [24 per cell]

Results
E_form (uncorrected): -2.3484 eV/atom
Crystal system: cubic

***

Material: ErAlCu2
Method: DFT, GGA-PBE
State: relaxed

Cell lengths 3.111, 3.111, 6.845 Å; angles 90.00, 90.00, 90.00 degrees
Space group P4/mmm (No. 123)
One atom of each set of equivalent atoms:
Er: 0.000 0.000 0.000 [1 per cell]
Al: 0.000 0.000 0.500 [1 per cell]
Cu: 0.500 0.500 0.293 [2 per cell]

Results
D(E_F): 2.90 states/eV/cell
Crystal system: tetragonal
Uncorrected energy: -4.309 eV/atom

***

Material: Zr2BAuN
Method: DFT, GGA-PBE
State: relaxed

Cell lengths 5.054, 5.054, 2.960 Å; angles 90.00, 90.00, 90.00 degrees
Space group P4/mmm (No. 123)
One atom of each set of equivalent atoms:
Zr: 0.000 0.500 0.000 [2 per cell]
B: 0.000 0.000 0.000 [1 per cell]
Au: 0.500 0.500 0.500 [1 per cell]
N: 0.000 0.000 0.500 [1 per cell]

Results
E_form (uncorrected): 0.0079 eV/atom
D(E_F): 2.83 states/eV/cell
Crystal system: tetragonal

***

Material: Nd2DyYHo
Method: DFT, GGA-PBE
State: relaxed

Cell lengths 8.379, 11.640, 7.263 Å; angles 90.00, 90.00, 90.00 degrees
Space group Cmcm (No. 63)
One atom of each set of equivalent atoms:
Nd: 0.194 0.000 0.000 [8 per cell]
Dy: 0.000 0.472 0.250 [4 per cell]
Y: 0.000 0.245 0.750 [4 per cell]
Ho: 0.000 0.211 0.250 [4 per cell]

Results
D(E_F): 25.65 states/eV/cell
Crystal system: orthorhombic
Uncorrected energy: -4.622 eV/atom

***

Material: TlNi2Ag
Method: DFT, GGA-PBE
State: relaxed

Cell lengths 4.144, 4.144, 3.600 Å; angles 90.00, 90.00, 90.00 degrees
Space group P4/mmm (No. 123)
One atom of each set of equivalent atoms:
Tl: 0.000 0.000 0.000 [1 per cell]
Ni: 0.000 0.500 0.500 [2 per cell]
Ag: 0.500 0.500 0.000 [1 per cell]

Results
D(E_F): 1.46 states/eV/cell
Crystal system: tetragonal
Uncorrected energy: -3.950 eV/atom

***

Material: Li3Ga2Sn
Method: DFT, GGA-PBE
State: relaxed

Cell lengths 4.183, 11.972, 4.214 Å; angles 90.00, 90.00, 90.00 degrees
Space group Cmmm (No. 65)
One atom of each set of equivalent atoms:
Li: 0.000 0.000 0.000 [2 per cell]
Li: 0.000 0.331 0.000 [4 per cell]
Ga: 0.000 0.173 0.500 [4 per cell]
Sn: 0.000 0.500 0.500 [2 per cell]

Results
D(E_F): 4.27 states/eV/cell
Crystal system: orthorhombic
Uncorrected energy: -2.920 eV/atom

***

Material: MoAsAu2
Method: DFT, GGA-PBE
State: relaxed

Cell lengths 13.392, 2.897, 4.151 Å; angles 90.00, 107.95, 90.00 degrees
Space group C2/m (No. 12)
One atom of each set of equivalent atoms:
Mo: 0.000 0.000 0.000 [2 per cell]
As: 0.000 0.500 0.500 [2 per cell]
Au: 0.193 0.500 0.194 [4 per cell]

Results
D(E_F): 4.81 states/eV/cell
Crystal system: monoclinic
Uncorrected energy: -5.309 eV/atom

***

Number 1: density 10.506 Mg/m³. Number 2: density 6.017 Mg/m³. Number 3: density 5.673 Mg/m³. Number 4: density 5.960 Mg/m³. Number 5: density 9.390 Mg/m³. Number 6: density 7.583 Mg/m³. Number 7: density 8.226 Mg/m³. Number 8: density 8.280 Mg/m³. Number 9: density 6.915 Mg/m³. Number 10: density 8.182 Mg/m³. Number 11: density 10.224 Mg/m³. Number 12: density 14.397 Mg/m³. Number 13: density 6.885 Mg/m³. Number 14: density 3.319 Mg/m³. Number 15: density 8.055 Mg/m³. Number 16: density 8.877 Mg/m³. Number 17: density 6.609 Mg/m³. Number 18: density 11.541 Mg/m³. Number 19: density 4.391 Mg/m³. Number 20: density 12.243 Mg/m³.